1.
DFT (PBE) results for a geometry-optimized RbGa11 structure.

a b c (Å): 8.2917 8.8480 8.8480
angles (deg): 77.32 62.06 62.06
Fractional positions:
Ga: 0.8750 0.2500 0.7500
Ga: 0.7500 0.5000 0.5000
Ga: 0.3750 0.7500 0.7500
Ga: 0.7533 0.8283 0.5804
Ga: 0.0837 0.9196 0.3283
Ga: 0.9967 0.6717 0.9196
Ga: 0.6663 0.5804 0.1717
Ga: 0.9967 0.9196 0.6717
Ga: 0.6663 0.1717 0.5804
Ga: 0.0837 0.3283 0.9196
Ga: 0.3316 0.6717 0.0804
Ga: 0.5880 0.3283 0.0804
Ga: 0.8750 0.2500 0.2500
Ga: 0.0000 0.0000 0.0000
Ga: 0.1620 0.4196 0.1717
Ga: 0.1620 0.1717 0.4196
Ga: 0.3316 0.0804 0.6717
Ga: 0.4184 0.4196 0.8283
Ga: 0.7533 0.5804 0.8283
Ga: 0.8750 0.7500 0.2500
Ga: 0.5880 0.0804 0.3283
Ga: 0.4184 0.8283 0.4196
Rb: 0.5000 0.0000 0.0000
Rb: 0.2500 0.5000 0.5000

Crystal system   tetragonal
Density of states at the Fermi level   9.36 states/eV per cell
Formation energy from the elements   -20 meV per atom
Symmetry   No. 141

***

2.
DFT (PBE) results for a geometry-optimized ScNi2Ir2 structure.

a b c (Å): 7.1484 7.1484 2.8374
angles (deg): 90.00 90.00 90.00
Fractional positions:
Ni: 0.6686 0.8314 0.5000
Ni: 0.1686 0.6686 0.5000
Ni: 0.8314 0.3314 0.5000
Ni: 0.3314 0.1686 0.5000
Sc: 0.5000 0.5000 0.0000
Sc: 0.0000 0.0000 0.0000
Ir: 0.6308 0.1308 0.0000
Ir: 0.8692 0.6308 0.0000
Ir: 0.1308 0.3692 0.0000
Ir: 0.3692 0.8692 0.0000

Crystal system   tetragonal
Polymorph energy (0 for the lowest one)   64 meV per atom
Density of states at the Fermi level   13.54 states/eV per cell
Formation energy from the elements   -188 meV per atom
Symmetry   No. 127

***

3.
DFT (PBE) results for a geometry-optimized Li4In3Ga structure.

a b c (Å): 4.6213 4.6220 7.7342
angles (deg): 107.24 107.38 90.00
Fractional positions:
Li: 0.3804 0.3804 0.7609
Li: 0.8804 0.8805 0.7609
Li: 0.6196 0.6196 0.2391
Li: 0.1196 0.1195 0.2391
In: 0.2507 0.7510 0.5014
In: 0.7493 0.2490 0.4986
In: 0.0000 0.5000 0.0000
Ga: 0.5000 0.0000 0.0000

Crystal system   monoclinic
Density of states at the Fermi level   2.86 states/eV per cell
Formation energy from the elements   -261 meV per atom
Symmetry   No. 12

***

4.
DFT (PBE) results for a geometry-optimized Ce2BeTl structure.

a b c (Å): 3.6906 3.6906 7.0875
angles (deg): 90.00 90.00 90.00
Fractional positions:
Be: 0.5000 0.5000 0.0000
Tl: 0.5000 0.5000 0.5000
Ce: 0.0000 0.0000 0.1938
Ce: 0.0000 0.0000 0.8062

Crystal system   tetragonal
Polymorph energy (0 for the lowest one)   0 meV per atom
Density of states at the Fermi level   8.42 states/eV per cell
Formation energy from the elements   -6 meV per atom
Symmetry   No. 123

***

| no. | total moment (μB per formula unit) |
| --- | --- |
| 1 | 0.0 |
| 2 | 0.0 |
| 3 | 0.0 |
| 4 | 1.5 |